# 1
A plane-wave DFT calculation with PBE was carried out for an optimized crystal structure of Cu14SnAu.

Unit cell a=5.2690 b=5.2690 c=8.6141 alpha=90.00 beta=90.00 gamma=118.71
Fractional coordinates of all 16 atoms:
1 Cu 0.3783 0.1240 0.7667
2 Cu 0.0454 0.4534 0.5000
3 Cu 0.2032 0.2964 0.0000
4 Cu 0.8760 0.6217 0.2333
5 Cu 0.3724 0.6276 0.2405
6 Cu 0.8716 0.1284 0.2396
7 Cu 0.7036 0.7968 0.0000
8 Cu 0.8716 0.1284 0.7604
9 Cu 0.3783 0.1240 0.2333
10 Cu 0.8760 0.6217 0.7667
11 Cu 0.3724 0.6276 0.7595
12 Cu 0.2056 0.7944 0.0000
13 Cu 0.7059 0.2941 0.0000
14 Cu 0.5466 0.9546 0.5000
15 Sn 0.0463 0.9537 0.5000
16 Au 0.5467 0.4533 0.5000

Calculated values
Calculated density (Mg/m³): 9.5
Final energy (eV per atom): -4.00
Calculated formation energy (eV/f.u.): 0.60


# 2
A plane-wave DFT calculation with PBE was carried out for an optimized crystal structure of CuSnAu.

Unit cell a=5.6122 b=5.2401 c=5.2428 alpha=91.60 beta=63.46 gamma=63.57
Fractional coordinates of all 6 atoms:
1 Sn 0.8721 0.3440 0.4830
2 Sn 0.8719 0.8421 0.9859
3 Au 0.3690 0.7835 0.4250
4 Au 0.3751 0.4026 0.0439
5 Cu 0.3720 0.9125 0.9150
6 Cu 0.3717 0.2740 0.5540

Calculated values
Calculated density (Mg/m³): 10.6
Energy above the lowest structure with this stoichiometry (meV/atom): 91
Final energy (eV per atom): -3.80
Calculated formation energy (eV/f.u.): -0.01


# 3
A plane-wave DFT calculation with PBE was carried out for an optimized crystal structure of CuSnAu6.

Unit cell a=5.5069 b=5.5066 c=5.5029 alpha=94.41 beta=94.40 gamma=117.72
Fractional coordinates of all 8 atoms:
1 Sn 0.5000 0.5000 0.0000
2 Cu 0.0000 0.0000 0.0000
3 Au 0.2468 0.2468 0.4476
4 Au 0.6575 0.1143 0.2454
5 Au 0.3425 0.8857 0.7546
6 Au 0.8856 0.3426 0.7546
7 Au 0.7532 0.7532 0.5524
8 Au 0.1144 0.6574 0.2454

Calculated values
Calculated density (Mg/m³): 15.5
Energy above the lowest structure with this stoichiometry (meV/atom): 0
Final energy (eV per atom): -3.49
Calculated formation energy (eV/f.u.): -0.15


# 4
A plane-wave DFT calculation with PBE was carried out for an optimized crystal structure of Cu6SnAu12.

Unit cell a=7.2077 b=7.2077 c=7.2077 alpha=102.97 beta=102.97 gamma=102.97
Fractional coordinates of all 19 atoms:
1 Au 0.0271 0.1614 0.6778
2 Au 0.1840 0.5327 0.6336
3 Au 0.6336 0.1840 0.5327
4 Au 0.8386 0.3222 0.9729
5 Au 0.5327 0.6336 0.1840
6 Au 0.6778 0.0271 0.1614
7 Au 0.4673 0.3664 0.8160
8 Au 0.9729 0.8386 0.3222
9 Au 0.1614 0.6778 0.0271
10 Au 0.8160 0.4673 0.3664
11 Au 0.3222 0.9729 0.8386
12 Au 0.3664 0.8160 0.4673
13 Cu 0.2553 0.1797 0.4311
14 Cu 0.7447 0.8203 0.5689
15 Cu 0.1797 0.4311 0.2553
16 Cu 0.8203 0.5689 0.7447
17 Cu 0.5689 0.7447 0.8203
18 Cu 0.4311 0.2553 0.1797
19 Sn 0.0000 0.0000 0.0000

Calculated values
Calculated density (Mg/m³): 14.0
Energy above the lowest structure with this stoichiometry (meV/atom): 101
Final energy (eV per atom): -3.48
Calculated formation energy (eV/f.u.): 1.74


# 5
A plane-wave DFT calculation with PBE was carried out for an optimized crystal structure of Cu5SnAu6.

Unit cell a=4.2325 b=7.1812 c=6.6310 alpha=90.00 beta=106.79 gamma=90.00
Fractional coordinates of all 12 atoms:
1 Sn 0.0000 0.0000 0.0000
2 Au 0.5000 0.2724 0.0000
3 Au 0.8248 0.7432 0.6576
4 Au 0.8248 0.2568 0.6576
5 Au 0.5000 0.7276 0.0000
6 Au 0.1752 0.7432 0.3424
7 Au 0.1752 0.2568 0.3424
8 Cu 0.6729 0.5000 0.3364
9 Cu 0.0000 0.5000 0.0000
10 Cu 0.3271 0.5000 0.6636
11 Cu 0.6728 0.0000 0.3394
12 Cu 0.3272 0.0000 0.6606

Calculated values
Calculated density (Mg/m³): 13.9
Final energy (eV per atom): -3.71
Calculated formation energy (eV/f.u.): -0.36


# 6
A plane-wave DFT calculation with PBE was carried out for an optimized crystal structure of Cu3SnAu3.

Unit cell a=7.7895 b=7.7895 c=7.7895 alpha=90.00 beta=90.00 gamma=90.00
Fractional coordinates of all 28 atoms:
1 Cu 0.8647 0.8647 0.8647
2 Cu 0.6661 0.3339 0.8339
3 Cu 0.3264 0.1736 0.8264
4 Cu 0.8264 0.3264 0.1736
5 Cu 0.6736 0.6736 0.6736
6 Cu 0.1736 0.8264 0.3264
7 Cu 0.6353 0.1353 0.3647
8 Cu 0.1661 0.1661 0.1661
9 Cu 0.1353 0.3647 0.6353
10 Cu 0.8339 0.6661 0.3339
11 Cu 0.3647 0.6353 0.1353
12 Cu 0.3339 0.8339 0.6661
13 Au 0.3097 0.1174 0.4741
14 Au 0.8097 0.3826 0.5259
15 Au 0.3826 0.5259 0.8097
16 Au 0.6903 0.6174 0.0259
17 Au 0.1174 0.4741 0.3097
18 Au 0.6174 0.0259 0.6903
19 Au 0.5259 0.8097 0.3826
20 Au 0.9741 0.1903 0.8826
21 Au 0.8826 0.9741 0.1903
22 Au 0.0259 0.6903 0.6174
23 Au 0.1903 0.8826 0.9741
24 Au 0.4741 0.3097 0.1174
25 Sn 0.0384 0.5384 0.9616
26 Sn 0.5384 0.9616 0.0384
27 Sn 0.4616 0.4616 0.4616
28 Sn 0.9616 0.0384 0.5384

Calculated values
Calculated density (Mg/m³): 12.7
Energy above the lowest structure with this stoichiometry (meV/atom): 0
Final energy (eV per atom): -3.74
Calculated formation energy (eV/f.u.): -0.02


# 7
A plane-wave DFT calculation with PBE was carried out for an optimized crystal structure of Cu6SnAu8.

Unit cell a=7.5093 b=7.5093 c=6.8590 alpha=56.81 beta=56.81 gamma=60.00
Fractional coordinates of all 15 atoms:
1 Cu 0.0115 0.7075 0.8605
2 Cu 0.5795 0.9885 0.1395
3 Cu 0.2925 0.5795 0.1395
4 Cu 0.9885 0.2925 0.1395
5 Cu 0.7075 0.4205 0.8605
6 Cu 0.4205 0.0115 0.8605
7 Sn 0.0000 0.0000 0.0000
8 Au 0.5827 0.1857 0.3621
9 Au 0.8694 0.5827 0.3621
10 Au 0.8143 0.1306 0.6379
11 Au 0.3793 0.3793 0.8622
12 Au 0.6207 0.6207 0.1378
13 Au 0.4173 0.8143 0.6379
14 Au 0.1857 0.8694 0.3621
15 Au 0.1306 0.4173 0.6379

Calculated values
Calculated density (Mg/m³): 13.3
Final energy (eV per atom): -3.62
Calculated formation energy (eV/f.u.): 0.49


# 8
A plane-wave DFT calculation with PBE was carried out for an optimized crystal structure of CuSnAu2.

Unit cell a=4.3067 b=4.3067 c=5.4631 alpha=66.79 beta=66.79 gamma=60.00
Fractional coordinates of all 4 atoms:
1 Sn 0.0000 0.0000 0.0000
2 Au 0.7703 0.7703 0.6891
3 Au 0.2297 0.2297 0.3109
4 Cu 0.5000 0.5000 0.5000

Calculated values
Calculated density (Mg/m³): 12.2
Final energy (eV per atom): -3.66
Calculated formation energy (eV/f.u.): 0.00